Record 1
First-principles (PBE) data for a geometry-optimized SrLiLa2 structure, as listed in the Alexandria database.

```
data_SrLiLa2
_chemical_formula_sum 'Sr1 Li1 La2'
_cell_length_a 3.769
_cell_length_b 3.769
_cell_length_c 12.279
_cell_angle_alpha 81.17
_cell_angle_beta 81.17
_cell_angle_gamma 60.00
_space_group_name_H-M_alt 'P 1'
_space_group_IT_number 1
_space_group_name_Hall 'P 1'
loop_
_atom_site_label
_atom_site_type_symbol
_atom_site_fract_x
_atom_site_fract_y
_atom_site_fract_z
_atom_site_occupancy
Sr1 Sr 0.500 0.500 0.501 1
Li1 Li 0.667 0.667 0.999 1
La1 La 0.074 0.074 0.778 1
La2 La 0.259 0.259 0.222 1
```

* SG: R3m, No. 160
* energy relative to the elements: 0.181 eV/atom
* calculated volume: 148.7 Å³ per cell
* total magnetization: 0.0 Bohr magnetons per cell

***

Record 2
First-principles (PBE) data for a geometry-optimized BaTcO2F structure, as listed in the Alexandria database.

```
data_BaTcO2F
_chemical_formula_sum 'Ba1 Tc1 O2 F1'
_cell_length_a 4.798
_cell_length_b 4.798
_cell_length_c 4.826
_cell_angle_alpha 90.00
_cell_angle_beta 90.00
_cell_angle_gamma 90.00
_space_group_name_H-M_alt 'P 1'
_space_group_IT_number 1
_space_group_name_Hall 'P 1'
loop_
_atom_site_label
_atom_site_type_symbol
_atom_site_fract_x
_atom_site_fract_y
_atom_site_fract_z
_atom_site_occupancy
F1 F 0.000 0.000 0.500 1
Ba1 Ba 0.000 0.000 0.000 1
O1 O 0.000 0.500 0.000 1
O2 O 0.500 0.000 0.000 1
Tc1 Tc 0.500 0.500 0.500 1
```

* SG: P4/mmm, No. 123
* energy relative to the elements, uncorrected: -0.2092 eV/atom
* calculated volume: 111.1 Å³ per cell
* total magnetization: 4.7 Bohr magnetons per cell